1.
# ZrFeGe2Ir

ZrFeGe2Ir after structural relaxation (GGA-PBE, Alexandria via LeMat-Bulk).

Geometry as extended XYZ:
```
5
Lattice="4.677 0.000 0.000 0.000 4.677 0.000 0.000 0.000 4.760" Properties=species:S:1:pos:R:3 pbc="T T T"
Zr 0.000 0.000 0.000
Fe 2.339 2.339 0.000
Ge 0.000 2.339 2.380
Ge 2.339 0.000 2.380
Ir 2.339 2.339 2.380
```

Summary:
Its density is 7.73 g cm⁻³. The calculation puts the total energy at -0.474 Ry per atom. Its total magnetization is 2.8 μB/f.u. For the formation energy, the calculation gives 573 meV per atom. The value obtained for the density of states at the Fermi level is 0.803 states/eV per atom.



2.
# BaHfIr2

BaHfIr2 after structural relaxation (GGA-PBE, Alexandria via LeMat-Bulk).

Geometry as extended XYZ:
```
8
Lattice="-3.809 3.809 3.362 3.809 -3.809 3.362 3.809 3.809 -3.362" Properties=species:S:1:pos:R:3 pbc="T T T"
Ba 0.000 0.000 0.000
Ba 0.000 3.809 1.681
Hf 3.809 0.000 1.681
Hf 0.000 0.000 3.362
Ir 1.904 -1.521 2.521
Ir 2.288 1.904 0.840
Ir 1.904 5.330 -0.840
Ir 1.521 1.904 4.202
```

Summary:
Its density is 11.92 g cm⁻³. The calculation puts the total energy at -0.535 Ry per atom. Its total magnetization is 0.0 μB/f.u. For the formation energy, the calculation gives 126 meV per atom. The value obtained for the density of states at the Fermi level is 0.245 states/eV per atom.



3.
# Nd2AgC2N6

Nd2AgC2N6 after structural relaxation (GGA-PBE, Alexandria via LeMat-Bulk).

Geometry as extended XYZ:
```
11
Lattice="4.882 -3.454 0.000 4.882 3.454 0.000 -3.027 0.000 5.183" Properties=species:S:1:pos:R:3 pbc="T T T"
Nd 0.887 0.000 1.593
Nd 5.851 0.000 3.590
Ag 4.882 0.000 0.000
C -0.446 0.000 4.058
C 7.183 0.000 1.126
N -1.753 0.000 4.257
N 0.320 1.122 3.932
N 0.320 -1.122 3.932
N 6.418 1.122 1.252
N 6.418 -1.122 1.252
N 8.490 0.000 0.926
```

Summary:
Its density is 4.79 g cm⁻³. The calculation puts the total energy at -0.548 Ry per atom. The value obtained for the uncorrected formation energy is -1.19 eV per formula unit. Its total magnetization is 0.4 μB/f.u. The value obtained for the density of states at the Fermi level is 0.385 states/eV per atom.



4.
# Zr3In2Ag2

Zr3In2Ag2 after structural relaxation (GGA-PBE, Alexandria via LeMat-Bulk).

Geometry as extended XYZ:
```
7
Lattice="4.139 -2.509 0.000 4.139 2.509 0.000 -3.229 0.000 7.185" Properties=species:S:1:pos:R:3 pbc="T T T"
Zr 0.000 0.000 0.000
Zr -0.160 0.000 3.003
Zr 5.209 0.000 4.182
In 2.679 0.000 1.832
In 2.371 0.000 5.354
Ag -0.410 0.000 5.998
Ag 5.459 0.000 1.188
```

Summary:
Its density is 8.00 g cm⁻³. The calculation puts the total energy at -0.386 Ry per atom. Its total magnetization is 1.7 μB/f.u. For the formation energy, the calculation gives 15 meV per atom. The value obtained for the density of states at the Fermi level is 0.678 states/eV per atom.



5.
# LaHgI2N

LaHgI2N after structural relaxation (GGA-PBE, Alexandria via LeMat-Bulk).

Geometry as extended XYZ:
```
5
Lattice="6.584 0.000 0.000 0.000 6.584 0.000 0.000 0.000 4.226" Properties=species:S:1:pos:R:3 pbc="T T T"
La 0.000 0.000 0.000
Hg 3.292 3.292 2.113
I 0.000 3.292 0.000
I 3.292 0.000 0.000
N 0.000 0.000 2.113
```

Summary:
Its density is 5.51 g cm⁻³. The calculation puts the total energy at -0.266 Ry per atom. The value obtained for the uncorrected formation energy is -1.46 eV per formula unit. Its total magnetization is 0.6 μB/f.u. The value obtained for the density of states at the Fermi level is 1.479 states/eV per atom.



6.
# In3ICl2

In3ICl2 after structural relaxation (GGA-PBE, Alexandria via LeMat-Bulk).

Geometry as extended XYZ:
```
6
Lattice="-2.458 9.764 2.458 2.458 -9.764 2.458 2.458 9.764 -2.458" Properties=species:S:1:pos:R:3 pbc="T T T"
In 0.000 0.000 0.000
In 0.000 6.315 0.012
In 0.000 13.214 0.012
I 0.000 9.764 0.000
Cl 0.000 3.266 0.002
Cl 0.000 16.263 0.002
```

Summary:
Its density is 3.82 g cm⁻³. The calculation puts the total energy at -0.212 Ry per atom. The value obtained for the uncorrected formation energy is -3.86 eV per formula unit. Its total magnetization is 0.0 μB/f.u. The value obtained for the density of states at the Fermi level is 0.000 states/eV per atom.



7.
# PmEuHoPb

PmEuHoPb after structural relaxation (GGA-PBE, Alexandria via LeMat-Bulk).

Geometry as extended XYZ:
```
4
Lattice="0.000 3.963 3.963 3.963 0.000 3.963 3.963 3.963 0.000" Properties=species:S:1:pos:R:3 pbc="T T T"
Pm 0.000 0.000 0.000
Eu 5.945 5.945 5.945
Ho 1.982 1.982 1.982
Pb 3.963 3.963 3.963
```

Summary:
Its density is 8.93 g cm⁻³. The calculation puts the total energy at -0.434 Ry per atom. Its total magnetization is 8.6 μB/f.u. For the formation energy, the calculation gives -83 meV per atom. The value obtained for the density of states at the Fermi level is 1.564 states/eV per atom.



8.
# Th2P4Ir3Pt

Th2P4Ir3Pt after structural relaxation (GGA-PBE, Alexandria via LeMat-Bulk).

Geometry as extended XYZ:
```
10
Lattice="4.277 0.000 0.000 0.000 4.277 0.000 0.000 0.000 9.448" Properties=species:S:1:pos:R:3 pbc="T T T"
Th 0.000 2.138 2.318
Th 2.138 0.000 7.130
P 0.000 0.000 0.000
P 0.000 2.138 6.025
P 2.138 0.000 3.423
P 2.138 2.138 0.000
Ir 0.000 2.138 8.408
Ir 2.138 0.000 1.040
Ir 2.138 2.138 4.724
Pt 0.000 0.000 4.724
```

Summary:
Its density is 13.07 g cm⁻³. The calculation puts the total energy at -0.584 Ry per atom. Its total magnetization is 0.0 μB/f.u. For the formation energy, the calculation gives -1034 meV per atom. The value obtained for the density of states at the Fermi level is 0.431 states/eV per atom.



9.
# Sc5TiNi6

Sc5TiNi6 after structural relaxation (GGA-PBE, Alexandria via LeMat-Bulk).

Geometry as extended XYZ:
```
12
Lattice="-2.223 3.124 6.726 2.223 -3.124 6.726 2.223 3.124 -6.726" Properties=species:S:1:pos:R:3 pbc="T T T"
Sc 0.000 0.000 0.000
Sc 2.223 0.000 2.231
Sc 0.000 0.000 4.447
Sc 0.000 0.000 9.004
Sc 0.000 3.124 4.495
Ti 0.000 3.124 0.000
Ni 2.223 -1.468 4.642
Ni 2.223 1.703 0.000
Ni 0.000 1.656 2.083
Ni 2.223 1.468 4.642
Ni 0.000 1.421 6.726
Ni 0.000 4.593 2.083
```

Summary:
Its density is 5.55 g cm⁻³. The calculation puts the total energy at -0.490 Ry per atom. Its total magnetization is 0.0 μB/f.u. For the formation energy, the calculation gives -475 meV per atom. The value obtained for the density of states at the Fermi level is 0.873 states/eV per atom.



10.
# Rb2LiReF6

Rb2LiReF6 after structural relaxation (GGA-PBE, Alexandria via LeMat-Bulk).

Geometry as extended XYZ:
```
10
Lattice="-2.979 2.979 4.252 2.979 -2.979 4.252 2.979 2.979 -4.252" Properties=species:S:1:pos:R:3 pbc="T T T"
Rb 2.979 0.000 2.126
Rb 0.000 2.979 2.126
Li 0.000 0.000 0.000
Re 0.000 0.000 4.252
F 0.000 0.000 2.145
F 1.520 1.520 0.000
F 1.459 -1.459 4.252
F -1.459 1.459 4.252
F 1.459 1.459 4.252
F 0.000 0.000 6.358
```

Summary:
Its density is 5.26 g cm⁻³. The calculation puts the total energy at -0.374 Ry per atom. The value obtained for the uncorrected formation energy is -23.39 eV per formula unit. Its total magnetization is 2.0 μB/f.u. The value obtained for the density of states at the Fermi level is 1.962 states/eV per atom.



11.
# Cr2SnGe2

Cr2SnGe2 after structural relaxation (GGA-PBE, Alexandria via LeMat-Bulk).

Geometry as extended XYZ:
```
5
Lattice="-1.820 1.820 6.180 1.820 -1.820 6.180 1.820 1.820 -6.180" Properties=species:S:1:pos:R:3 pbc="T T T"
Cr 0.000 0.000 1.279
Cr 0.000 0.000 11.080
Sn 0.000 0.000 6.180
Ge 1.820 0.000 3.090
Ge 0.000 1.820 3.090
```

Summary:
Its density is 7.46 g cm⁻³. The calculation puts the total energy at -0.460 Ry per atom. Its total magnetization is 3.1 μB/f.u. For the formation energy, the calculation gives 233 meV per atom. The value obtained for the density of states at the Fermi level is 0.818 states/eV per atom.



12.
# Fe4Se3

Fe4Se3 after structural relaxation (GGA-PBE, Alexandria via LeMat-Bulk).

Geometry as extended XYZ:
```
7
Lattice="5.431 0.000 0.000 -2.716 4.703 0.000 0.000 0.000 4.508" Properties=species:S:1:pos:R:3 pbc="T T T"
Fe 0.000 0.000 1.106
Fe 0.000 0.000 3.403
Fe 0.000 3.136 0.000
Fe 2.716 1.568 0.000
Se -1.358 2.352 2.254
Se 2.716 0.000 2.254
Se 1.358 2.352 2.254
```

Summary:
Its density is 6.64 g cm⁻³. The calculation puts the total energy at -0.403 Ry per atom. The value obtained for the uncorrected formation energy is 5.93 eV per formula unit. Its total magnetization is 11.0 μB/f.u. The value obtained for the density of states at the Fermi level is 1.543 states/eV per atom.



13.
# CeTh2Sc5

CeTh2Sc5 after structural relaxation (GGA-PBE, Alexandria via LeMat-Bulk).

Geometry as extended XYZ:
```
8
Lattice="4.631 -6.802 0.000 4.631 6.802 0.000 0.000 0.000 3.422" Properties=species:S:1:pos:R:3 pbc="T T T"
Ce 0.000 0.000 0.000
Th 4.631 3.412 0.000
Th 4.631 -3.412 0.000
Sc 2.344 1.668 1.711
Sc 2.344 -1.668 1.711
Sc 4.631 0.000 0.000
Sc 6.919 1.668 1.711
Sc 6.919 -1.668 1.711
```

Summary:
Its density is 6.39 g cm⁻³. The calculation puts the total energy at -0.479 Ry per atom. Its total magnetization is 0.4 μB/f.u. For the formation energy, the calculation gives 42 meV per atom. The value obtained for the density of states at the Fermi level is 1.541 states/eV per atom.